Below is a relaxed structure of TbSmPBr, with properties calculated at the GGA-PBE level.

Output
* total magnetization: 0.0 μB/f.u.
* formation energy from raw total energies: -1467 meV/atom
* volume: 25.60 Å³ per atom
* mass density: 6.8 g/cm³

POSCAR file:
```
TbSmPBr
1.0
2.0147 1.1632 7.2835
-2.0147 1.1632 7.2835
0.0000 -2.3263 7.2835
Tb Sm P Br
1 1 1 1
Cartesian
0.0000 0.0000 0.0000
0.0000 0.0000 17.5073
0.0000 0.0000 8.6711
0.0000 0.0000 12.4557
```